(P)
Tl2NiOs | PBE-GGA | optimized geometry

Geometry as POSCAR:
```
Tl2NiOs
1.0
-1.975 1.975 4.667
1.975 -1.975 4.667
1.975 1.975 -4.667
Tl Ni Os
2 1 1
direct
0.000 0.000 0.000
0.750 0.250 0.500
0.250 0.750 0.500
0.500 0.500 0.000
```

## Properties
Spin magnetization: 1.1 Bohr magnetons per cell

***

(Q)
Tl2NiOs | PBE-GGA | optimized geometry

Geometry as POSCAR:
```
Tl2NiOs
1.0
-1.516 2.293 5.753
1.516 -2.293 5.753
1.516 2.293 -5.753
Tl Ni Os
2 1 1
direct
0.000 0.000 0.000
0.725 0.225 0.500
0.403 0.403 0.000
0.230 0.730 0.500
```

## Properties
Spin magnetization: 0.0 Bohr magnetons per cell

***

If we sort the structures by their calculated energies, the order from most to least stable is (Q), (P).

***

(P)
Tm8Ni2Os | PBE-GGA | optimized geometry

Geometry as POSCAR:
```
Tm8Ni2Os
1.0
4.055 -6.186 0.000
4.055 6.186 0.000
-1.831 0.000 5.465
Tm Ni Os
8 2 1
direct
0.000 0.000 0.000
0.024 0.281 0.594
0.144 0.576 0.178
0.281 0.024 0.594
0.434 0.690 0.780
0.576 0.144 0.178
0.690 0.434 0.780
0.716 0.716 0.354
0.046 0.665 0.678
0.665 0.046 0.678
0.360 0.360 0.028
```

## Properties
Spin magnetization: 0.0 Bohr magnetons per cell

***

(Q)
Tm8Ni2Os | PBE-GGA | optimized geometry

Geometry as POSCAR:
```
Tm8Ni2Os
1.0
8.384 -2.467 0.000
8.384 2.467 0.000
-1.957 0.000 6.295
Tm Ni Os
8 2 1
direct
0.035 0.035 0.296
0.200 0.200 0.819
0.330 0.330 0.526
0.407 0.407 0.055
0.593 0.593 0.945
0.670 0.670 0.474
0.800 0.800 0.181
0.965 0.965 0.704
0.187 0.187 0.206
0.813 0.813 0.794
0.500 0.500 0.500
```

## Properties
Spin magnetization: 0.0 Bohr magnetons per cell

***

If we sort the structures by their calculated energies, the order from most to least stable is (Q), (P).

***

(P)
Tm4NiOs | PBE-GGA | optimized geometry

Geometry as POSCAR:
```
Tm4NiOs
1.0
6.665 0.000 0.000
0.000 6.724 0.000
-0.073 0.000 6.686
Tm Ni Os
8 2 2
direct
0.165 0.162 0.340
0.165 0.338 0.840
0.333 0.667 0.333
0.333 0.833 0.833
0.667 0.167 0.167
0.667 0.333 0.667
0.835 0.662 0.160
0.835 0.838 0.660
0.500 0.000 0.500
0.500 0.500 0.000
0.000 0.000 0.000
0.000 0.500 0.500
```

## Properties
Spin magnetization: 0.0 Bohr magnetons per cell

***

(Q)
Tm4NiOs | PBE-GGA | optimized geometry

Geometry as POSCAR:
```
Tm4NiOs
1.0
5.991 0.000 0.000
0.000 6.412 0.000
-2.410 0.000 7.286
Tm Ni Os
8 2 2
direct
0.005 0.000 0.265
0.005 0.500 0.265
0.419 0.250 0.094
0.452 0.250 0.624
0.548 0.750 0.376
0.581 0.750 0.906
0.995 0.000 0.735
0.995 0.500 0.735
0.252 0.750 0.570
0.748 0.250 0.430
0.198 0.750 0.045
0.802 0.250 0.955
```

## Properties
Spin magnetization: 0.0 Bohr magnetons per cell

***

If we sort the structures by their calculated energies, the order from most to least stable is (Q), (P).

***

(P)
TmZrNiOs | PBE-GGA | optimized geometry

Geometry as POSCAR:
```
TmZrNiOs
1.0
3.285 0.000 0.000
0.000 3.285 0.000
0.000 0.000 6.730
Tm Zr Ni Os
1 1 1 1
direct
0.000 0.000 0.000
0.000 0.000 0.500
0.500 0.500 0.730
0.500 0.500 0.270
```

## Properties
Spin magnetization: 0.0 Bohr magnetons per cell

***

(Q)
TmZrNiOs | PBE-GGA | optimized geometry

Geometry as POSCAR:
```
TmZrNiOs
1.0
0.000 3.303 3.303
3.303 0.000 3.303
3.303 3.303 0.000
Tm Zr Ni Os
1 1 1 1
direct
0.000 0.000 0.000
0.500 0.500 0.500
0.250 0.250 0.250
0.750 0.750 0.750
```

## Properties
Spin magnetization: 0.0 Bohr magnetons per cell

***

If we sort the structures by their calculated energies, the order from most to least stable is (P), (Q).

***

(P)
VNiOs | PBE-GGA | optimized geometry

Geometry as POSCAR:
```
VNiOs
1.0
4.118 0.000 0.000
-2.059 3.566 0.000
0.000 0.000 5.203
V Ni Os
2 2 2
direct
0.333 0.667 0.250
0.667 0.333 0.750
0.333 0.667 0.750
0.667 0.333 0.250
0.000 0.000 0.000
0.000 0.000 0.500
```

## Properties
Spin magnetization: 0.0 Bohr magnetons per cell

***

(Q)
VNiOs | PBE-GGA | optimized geometry

Geometry as POSCAR:
```
VNiOs
1.0
4.190 0.000 0.000
-2.095 3.629 0.000
0.000 0.000 2.551
V Ni Os
1 1 1
direct
0.000 0.000 0.000
0.667 0.333 0.181
0.333 0.667 0.649
```

## Properties
Spin magnetization: 0.0 Bohr magnetons per cell

***

If we sort the structures by their calculated energies, the order from most to least stable is (P), (Q).

***

(P)
VNiOs | PBE-GGA | optimized geometry

Geometry as POSCAR:
```
VNiOs
1.0
2.562 -2.549 0.000
2.562 2.549 0.000
-1.031 0.000 6.062
V Ni Os
2 2 2
direct
0.190 0.190 0.194
0.810 0.810 0.806
0.251 0.749 0.500
0.749 0.251 0.500
0.306 0.306 0.814
0.694 0.694 0.186
```

## Properties
Spin magnetization: 0.0 Bohr magnetons per cell

***

(Q)
VNiOs | PBE-GGA | optimized geometry

Geometry as POSCAR:
```
VNiOs
1.0
4.152 -1.276 0.000
4.152 1.276 0.000
-2.340 0.000 8.396
V Ni Os
2 2 2
direct
0.118 0.118 0.432
0.882 0.882 0.568
0.340 0.340 0.285
0.660 0.660 0.715
0.029 0.029 0.142
0.971 0.971 0.858
```

## Properties
Spin magnetization: 0.0 Bohr magnetons per cell

***

If we sort the structures by their calculated energies, the order from most to least stable is (P), (Q).

***

(P)
VNi2Os | PBE-GGA | optimized geometry

Geometry as POSCAR:
```
VNi2Os
1.0
-1.750 1.750 8.725
1.750 -1.750 8.725
1.750 1.750 -8.725
V Ni Os
2 4 2
direct
0.000 0.000 0.000
0.750 0.250 0.500
0.127 0.625 0.002
0.375 0.377 0.502
0.623 0.125 0.998
0.875 0.873 0.498
0.250 0.750 0.500
0.500 0.500 0.000
```

## Properties
Spin magnetization: 0.0 Bohr magnetons per cell

***

(Q)
VNi2Os | PBE-GGA | optimized geometry

Geometry as POSCAR:
```
VNi2Os
1.0
0.000 2.921 2.921
2.921 0.000 2.921
2.921 2.921 0.000
V Ni Os
1 2 1
direct
0.000 0.000 0.000
0.250 0.250 0.250
0.750 0.750 0.750
0.500 0.500 0.500
```

## Properties
Spin magnetization: 0.3 Bohr magnetons per cell

***

(R)
VNi2Os | PBE-GGA | optimized geometry

Geometry as POSCAR:
```
VNi2Os
1.0
3.593 0.000 0.000
0.000 3.593 0.000
0.000 0.000 3.793
V Ni Os
1 2 1
direct
0.000 0.000 0.000
0.000 0.500 0.500
0.500 0.000 0.500
0.500 0.500 0.000
```

## Properties
Spin magnetization: 0.0 Bohr magnetons per cell

***

If we sort the structures by their calculated energies, the order from most to least stable is (R), (Q), (P).

***

(P)
NiOs2W | PBE-GGA | optimized geometry

Geometry as POSCAR:
```
NiOs2W
1.0
0.000 3.051 3.051
3.051 0.000 3.051
3.051 3.051 0.000
Ni Os W
1 2 1
direct
0.000 0.000 0.000
0.250 0.250 0.250
0.750 0.750 0.750
0.500 0.500 0.500
```

## Properties
Spin magnetization: 0.0 Bohr magnetons per cell

***

(Q)
NiOs2W | PBE-GGA | optimized geometry

Geometry as POSCAR:
```
NiOs2W
1.0
4.497 -1.373 0.000
4.497 1.373 0.000
-0.813 0.000 4.583
Ni Os W
1 2 1
direct
0.000 0.000 0.000
0.496 0.496 0.483
0.752 0.752 0.263
0.249 0.249 0.762
```

## Properties
Spin magnetization: 0.0 Bohr magnetons per cell

***

If we sort the structures by their calculated energies, the order from most to least stable is (Q), (P).